Model P:
Crystalline AcPm6Nd4 at its relaxed geometry, computed with PBE.

abc: 7.977 7.977 13.153
angles: 90.00 90.00 90.00
Space group I-42m (No. 121)
Unique sites:
Ac: 0.000 0.000 0.000 x2
Pm: 0.000 0.500 0.000 x4
Pm: 0.246 0.246 0.692 x8
Nd: 0.169 0.169 0.425 x8

---

Model Q:
Crystalline AcPm6Nd4 at its relaxed geometry, computed with PBE.

abc: 6.756 6.756 17.693
angles: 90.00 90.00 90.00
Space group I-42m (No. 121)
Unique sites:
Ac: 0.000 0.000 0.000 x2
Pm: 0.000 0.500 0.000 x4
Pm: 0.179 0.179 0.373 x8
Nd: 0.191 0.191 0.181 x8

---

Stability ranking, top and bottom: model Q is the most stable and model P is the least stable.

---

Model P:
Crystalline AcPm3Nd at its relaxed geometry, computed with PBE.

abc: 3.762 8.885 11.566
angles: 104.94 99.28 90.14
Space group P-1 (No. 2)
Unique sites:
Ac: 0.213 0.309 0.431 x2
Pm: 0.182 0.882 0.360 x2
Pm: 0.387 0.482 0.773 x2
Pm: 0.417 0.924 0.839 x2
Nd: 0.016 0.717 0.033 x2

---

Model Q:
Crystalline AcPm3Nd at its relaxed geometry, computed with PBE.

abc: 6.004 7.294 8.979
angles: 90.00 109.45 90.00
Space group P2_1/m (No. 11)
Unique sites:
Ac: 0.110 0.250 0.221 x2
Pm: 0.120 0.750 0.241 x2
Pm: 0.308 0.002 0.617 x4
Nd: 0.496 0.250 0.991 x2

---

Stability ranking, top and bottom: model P is the most stable and model Q is the least stable.

---

Model P:
Crystalline AcPm4Nd3 at its relaxed geometry, computed with PBE.

abc: 11.995 7.481 6.459
angles: 90.00 90.00 90.00
Space group Pmn2_1 (No. 31)
Unique sites:
Ac: 0.000 0.126 0.000 x2
Pm: 0.000 0.381 0.492 x2
Pm: 0.000 0.624 0.993 x2
Pm: 0.248 0.622 0.664 x4
Nd: 0.000 0.870 0.495 x2
Nd: 0.249 0.129 0.659 x4

---

Model Q:
Crystalline AcPm4Nd3 at its relaxed geometry, computed with PBE.

abc: 10.461 7.412 7.407
angles: 90.00 90.00 90.00
Space group Pmn2_1 (No. 31)
Unique sites:
Ac: 0.000 0.001 0.000 x2
Pm: 0.000 0.000 0.500 x2
Pm: 0.000 0.500 0.000 x2
Pm: 0.250 0.254 0.250 x4
Nd: 0.000 0.499 0.500 x2
Nd: 0.250 0.254 0.750 x4

---

Stability ranking, top and bottom: model Q is the most stable and model P is the least stable.

---

Model P:
Crystalline Ac2Pm2Nd5 at its relaxed geometry, computed with PBE.

abc: 18.477 3.680 10.243
angles: 90.00 103.67 90.00
Space group C2/m (No. 12)
Unique sites:
Ac: 0.013 0.000 0.183 x4
Pm: 0.172 0.500 0.404 x4
Nd: 0.000 0.500 0.500 x2
Nd: 0.162 0.000 0.706 x4
Nd: 0.163 0.500 0.025 x4

---

Model Q:
Crystalline Ac2Pm2Nd5 at its relaxed geometry, computed with PBE.

abc: 15.448 12.503 6.969
angles: 90.00 90.00 90.00
Space group Ima2 (No. 46)
Unique sites:
Ac: 0.000 0.000 0.000 x4
Ac: 0.250 0.003 0.058 x4
Pm: 0.126 0.005 0.531 x8
Nd: 0.055 0.747 0.175 x8
Nd: 0.142 0.237 0.857 x8
Nd: 0.250 0.732 0.883 x4

---

Stability ranking, top and bottom: model P is the most stable and model Q is the least stable.